# 1
Compound: GdB2Os
Source: Alexandria
Functional: PBE
Structure: optimized geometry

Output
- Calculated formation energy: -0.220 eV per atom
- N(E_F): 5.29 states/eV/cell
- Energy above the most stable polymorph in this dataset: 1.22 eV per formula unit

Geometry as CIF:
```
data_GdB2Os
_cell_length_a 3.6797
_cell_length_b 3.6797
_cell_length_c 14.2574
_cell_angle_alpha 90.00
_cell_angle_beta 90.00
_cell_angle_gamma 120.00
_space_group_name_H-M_alt 'R -3 m'
_space_group_IT_number 166
_space_group_name_Hall '-R 3 2"'
loop_
_atom_site_label
_atom_site_type_symbol
_atom_site_fract_x
_atom_site_fract_y
_atom_site_fract_z
Gd1 Gd 0.0000 0.0000 0.0000
B1 B 0.0000 0.0000 0.2058
Os1 Os 0.0000 0.0000 0.5000
```

=====

# 2
Compound: CaPr3Au2
Source: Alexandria
Functional: PBE
Structure: optimized geometry

Output
- Calculated formation energy: -0.549 eV per atom
- N(E_F): 13.28 states/eV/cell

Geometry as CIF:
```
data_CaPr3Au2
_cell_length_a 5.1023
_cell_length_b 9.2853
_cell_length_c 7.5602
_cell_angle_alpha 90.00
_cell_angle_beta 90.00
_cell_angle_gamma 90.00
_space_group_name_H-M_alt 'P m c 21'
_space_group_IT_number 26
_space_group_name_Hall 'P 2c -2'
loop_
_atom_site_label
_atom_site_type_symbol
_atom_site_fract_x
_atom_site_fract_y
_atom_site_fract_z
Ca1 Ca 0.0000 0.0741 0.0000
Pr1 Pr 0.0000 0.3329 0.6368
Pr2 Pr 0.5000 0.1707 0.3347
Pr3 Pr 0.5000 0.4214 0.9735
Au1 Au 0.0000 0.3479 0.2331
Au2 Au 0.5000 0.1494 0.7339
```

=====

# 3
Compound: BaGdCd2
Source: Alexandria
Functional: PBE
Structure: optimized geometry

Output
- Calculated formation energy: -0.305 eV per atom
- N(E_F): 4.07 states/eV/cell

Geometry as CIF:
```
data_BaGdCd2
_cell_length_a 3.9513
_cell_length_b 3.9513
_cell_length_c 8.2029
_cell_angle_alpha 90.00
_cell_angle_beta 90.00
_cell_angle_gamma 90.00
_space_group_name_H-M_alt 'P 4/m m m'
_space_group_IT_number 123
_space_group_name_Hall '-P 4 2'
loop_
_atom_site_label
_atom_site_type_symbol
_atom_site_fract_x
_atom_site_fract_y
_atom_site_fract_z
Ba1 Ba 0.0000 0.0000 0.0000
Gd1 Gd 0.0000 0.0000 0.5000
Cd1 Cd 0.5000 0.5000 0.2940
```